# 1
VASP calculation (GGA-PBE) on a relaxed structure of PrAl6Ag.

```
PrAl6Ag
1.0
-0.504 -0.193 6.234
4.491 -3.270 -2.878
2.856 3.620 0.343
Ag Al Pr
1 6 1
direct
0.000 0.000 0.000
0.521 0.041 0.000
0.521 0.479 0.000
0.959 0.479 0.000
0.341 0.171 0.500
0.829 0.171 0.500
0.829 0.659 0.500
0.333 0.667 0.500
```

## Properties
DFT total energy   -3.835 eV/atom

=====

# 2
VASP calculation (GGA-PBE) on a relaxed structure of TbPr2Al3AgPt2.

```
TbPr2Al3AgPt2
1.0
-3.246 -2.311 1.421
4.238 -2.736 5.233
-3.802 6.078 1.200
Ag Al Pr Pt Tb
1 3 2 2 1
direct
0.000 0.994 0.994
0.500 0.245 0.245
0.500 0.995 0.755
0.500 0.755 0.995
0.000 0.422 0.002
0.000 0.002 0.422
0.500 0.664 0.344
0.500 0.344 0.664
0.000 0.579 0.579
```

## Properties
DFT total energy   -5.287 eV/atom

=====

# 3
VASP calculation (GGA-PBE) on a relaxed structure of Tb2PrAl7Ag2.

```
Tb2PrAl7Ag2
1.0
-7.188 -5.179 -3.178
-3.186 -8.728 -1.504
-6.574 -6.342 2.271
Ag Al Pr Tb
2 7 1 2
direct
0.336 0.336 0.336
0.664 0.664 0.664
0.588 0.588 0.076
0.924 0.412 0.412
0.412 0.924 0.412
0.500 0.500 0.500
0.588 0.076 0.588
0.076 0.588 0.588
0.412 0.412 0.924
0.000 0.000 0.000
0.142 0.142 0.142
0.858 0.858 0.858
```

## Properties
DFT total energy   -4.303 eV/atom

=====

# 4
VASP calculation (GGA-PBE) on a relaxed structure of TbPr2Al7Ag2.

```
TbPr2Al7Ag2
1.0
-0.469 8.772 3.582
3.196 8.904 -0.709
-2.354 9.025 -1.733
Ag Al Pr Tb
2 7 2 1
direct
0.336 0.336 0.336
0.664 0.664 0.664
0.586 0.586 0.074
0.926 0.414 0.414
0.414 0.926 0.414
0.500 0.500 0.500
0.586 0.074 0.586
0.074 0.586 0.586
0.414 0.414 0.926
0.142 0.142 0.142
0.858 0.858 0.858
0.000 0.000 0.000
```

## Properties
DFT total energy   -4.275 eV/atom

=====

# 5
VASP calculation (GGA-PBE) on a relaxed structure of PrTm2Al7Ag2.

```
PrTm2Al7Ag2
1.0
2.781 1.606 8.780
-2.781 1.606 8.780
0.000 -3.211 8.780
Ag Al Pr Tm
2 7 1 2
direct
0.336 0.336 0.336
0.664 0.664 0.664
0.589 0.589 0.077
0.923 0.411 0.411
0.411 0.923 0.411
0.500 0.500 0.500
0.589 0.077 0.589
0.077 0.589 0.589
0.411 0.411 0.923
0.000 0.000 0.000
0.142 0.142 0.142
0.858 0.858 0.858
```

## Properties
DFT total energy   -4.261 eV/atom

=====

# 6
VASP calculation (GGA-PBE) on a relaxed structure of Pr2TmAl7Ag2.

```
Pr2TmAl7Ag2
1.0
2.816 1.626 8.888
-2.816 1.626 8.888
0.000 -3.252 8.888
Ag Al Pr Tm
2 7 2 1
direct
0.336 0.336 0.336
0.664 0.664 0.664
0.585 0.585 0.074
0.926 0.415 0.415
0.415 0.926 0.415
0.500 0.500 0.500
0.585 0.074 0.585
0.074 0.585 0.585
0.415 0.415 0.926
0.142 0.142 0.142
0.858 0.858 0.858
0.000 0.000 0.000
```

## Properties
DFT total energy   -4.238 eV/atom

=====

# 7
VASP calculation (GGA-PBE) on a relaxed structure of Al2AgPt.

```
Al2AgPt
1.0
0.000 3.171 3.171
3.171 0.000 3.171
3.171 3.171 0.000
Ag Al Pt
1 2 1
direct
0.750 0.750 0.750
0.250 0.250 0.250
0.500 0.500 0.500
0.000 0.000 0.000
```

## Properties
DFT total energy   -4.318 eV/atom

=====

# 8
VASP calculation (GGA-PBE) on a relaxed structure of AlAgPt.

```
AlAgPt
1.0
0.000 2.976 2.976
2.976 0.000 2.976
2.976 2.976 0.000
Ag Al Pt
1 1 1
direct
0.250 0.250 0.250
0.000 0.000 0.000
0.750 0.750 0.750
```

## Properties
ΔE to the lowest computed polymorph   0.0 meV/atom

=====

Copy entry 4 word for word.
VASP calculation (GGA-PBE) on a relaxed structure of TbPr2Al7Ag2.

```
TbPr2Al7Ag2
1.0
-0.469 8.772 3.582
3.196 8.904 -0.709
-2.354 9.025 -1.733
Ag Al Pr Tb
2 7 2 1
direct
0.336 0.336 0.336
0.664 0.664 0.664
0.586 0.586 0.074
0.926 0.414 0.414
0.414 0.926 0.414
0.500 0.500 0.500
0.586 0.074 0.586
0.074 0.586 0.586
0.414 0.414 0.926
0.142 0.142 0.142
0.858 0.858 0.858
0.000 0.000 0.000
```

## Properties
DFT total energy   -4.275 eV/atom